[1]
V14RuW (PBE, optimized geometry); calculated volume = 218.4 Å³/f.u.; total magnetic moment = 0.0 μB per formula unit; calculated density = 7.59 g/cm³; calculated formation energy = -1.46 eV/f.u.; electronic total energy = -9.459 eV per atom; D(E_F) = 1.463 states/eV per atom
1.0
5.2151 0.1735 0.0000
-1.8843 4.8658 0.0000
0.0000 0.0000 8.4962
V Ru W
14 1 1
direct
0.1250 0.3750 0.0000 V
0.3741 0.1241 0.7524 V
0.8759 0.6259 0.2476 V
0.8738 0.1262 0.7563 V
0.3741 0.1241 0.2476 V
0.8738 0.1262 0.2437 V
0.3763 0.6237 0.2437 V
0.6250 0.3750 0.0000 V
0.8759 0.6259 0.7524 V
0.6249 0.8751 0.5000 V
0.6250 0.8750 0.0000 V
0.1250 0.8750 0.0000 V
0.1249 0.3751 0.5000 V
0.3763 0.6237 0.7563 V
0.1250 0.8750 0.5000 Ru
0.6249 0.3751 0.5000 W

---

[2]
LiRePb (PBE, optimized geometry); calculated volume = 58.0 Å³/f.u.; total magnetic moment = 0.0 μB per formula unit; energy above the lowest structure with this stoichiometry = 17 meV per atom; calculated density = 11.47 g/cm³; calculated formation energy = 2.12 eV/f.u.; electronic total energy = -5.318 eV per atom; D(E_F) = 0.651 states/eV per atom
1.0
-2.6800 5.9608 3.4192
-4.0475 5.9199 0.8257
-1.9401 -1.0626 1.9248
Li Pb Re
1 1 1
direct
0.0166 0.0166 0.9834 Li
0.3227 0.3227 0.6773 Pb
0.6607 0.6607 0.3393 Re

---

[3]
NaCr3Te (PBE, optimized geometry); calculated volume = 146.6 Å³/f.u.; total magnetic moment = 13.2 μB per formula unit; energy above the lowest structure with this stoichiometry = 0 meV per atom; calculated density = 3.47 g/cm³; electronic total energy = -5.631 eV per atom; E_form (uncorrected) = 1035 meV/atom; D(E_F) = 0.571 states/eV per atom
1.0
5.2729 0.0000 0.0000
0.0000 5.2729 0.0000
0.0000 0.0000 5.2729
Cr Na Te
3 1 1
direct
0.0000 0.0000 0.5000 Cr
0.5000 0.0000 0.0000 Cr
0.0000 0.5000 0.0000 Cr
0.5000 0.5000 0.5000 Na
0.0000 0.0000 0.0000 Te

---

[4]
Zr2InSbP (PBE, optimized geometry); calculated volume = 144.5 Å³/f.u.; total magnetic moment = 0.0 μB per formula unit; calculated density = 5.17 g/cm³; electronic total energy = -5.130 eV per atom; E_form (uncorrected) = 743 meV/atom; D(E_F) = 1.307 states/eV per atom
1.0
5.3800 0.0000 0.0000
0.0000 4.9934 0.0000
0.0000 0.0000 5.3800
Zr Sb In P
2 1 1 1
direct
0.5000 0.0000 0.0000 Zr
0.0000 0.0000 0.5000 Zr
0.0000 0.0000 0.0000 Sb
0.5000 0.5000 0.5000 In
0.0000 0.5000 0.0000 P